1.
# La5Sb4As, optimized geometry, DFT PBE
data_La5Sb4As
_chemical_formula_sum 'La10 Sb8 As2'
_space_group_name_H-M_alt 'I 4/m m m'
_space_group_IT_number 139
_space_group_name_Hall '-I 4 2'
_cell_length_a 4.583
_cell_length_b 4.583
_cell_length_c 32.339
_cell_angle_alpha 90.00
_cell_angle_beta 90.00
_cell_angle_gamma 90.00
loop_
_atom_site_label
_atom_site_fract_x
_atom_site_fract_y
_atom_site_fract_z
La1 0.000 0.000 0.000
La2 0.000 0.000 0.200
La3 0.000 0.000 0.404
Sb1 0.000 0.000 0.099
Sb2 0.000 0.000 0.301
As1 0.000 0.000 0.500
# - total magnetic moment (μB per formula unit) = 0.00
# - volume (A^3/atom) = 33.96
# - formation energy (no corrections) (eV/f.u.) = -13.2
# - calculated density (Mg/m³) = 6.14

2.
# LaSb2As, optimized geometry, DFT PBE
data_LaSb2As
_chemical_formula_sum 'La4 Sb8 As4'
_space_group_name_H-M_alt 'F -4 3 m'
_space_group_IT_number 216
_space_group_name_Hall 'F -4 2 3'
_cell_length_a 7.595
_cell_length_b 7.595
_cell_length_c 7.595
_cell_angle_alpha 90.00
_cell_angle_beta 90.00
_cell_angle_gamma 90.00
loop_
_atom_site_label
_atom_site_fract_x
_atom_site_fract_y
_atom_site_fract_z
La1 0.000 0.000 0.000
Sb1 0.000 0.000 0.500
Sb2 0.250 0.250 0.750
As1 0.250 0.250 0.250
# - total magnetic moment (μB per formula unit) = 0.00
# - volume (A^3/atom) = 27.38
# - formation energy (no corrections) (eV/f.u.) = -1.5
# - calculated density (Mg/m³) = 6.93

3.
# La6Sb4As, optimized geometry, DFT PBE
data_La6Sb4As
_chemical_formula_sum 'La36 Sb24 As6'
_space_group_name_H-M_alt 'R -3 c'
_space_group_IT_number 167
_space_group_name_Hall '-R 3 2"c'
_cell_length_a 12.7293
_cell_length_b 12.7293
_cell_length_c 15.7868
_cell_angle_alpha 90.00
_cell_angle_beta 90.00
_cell_angle_gamma 120.00
loop_
_atom_site_label
_atom_site_fract_x
_atom_site_fract_y
_atom_site_fract_z
La1 0.0317 0.1986 0.3916
Sb1 0.0000 0.0000 0.2500
Sb2 0.0000 0.3822 0.2500
As1 0.0000 0.0000 0.0000
# - total magnetic moment (μB per formula unit) = 0.00
# - volume (A^3/atom) = 33.57
# - formation energy (no corrections) (eV/f.u.) = -12.5
# - calculated density (Mg/m³) = 6.28

4.
# La2SbAs, optimized geometry, DFT PBE
data_La2SbAs
_chemical_formula_sum 'La4 Sb2 As2'
_space_group_name_H-M_alt 'C m m m'
_space_group_IT_number 65
_space_group_name_Hall '-C 2 2'
_cell_length_a 4.911
_cell_length_b 5.852
_cell_length_c 8.081
_cell_angle_alpha 90.00
_cell_angle_beta 90.00
_cell_angle_gamma 90.00
loop_
_atom_site_label
_atom_site_fract_x
_atom_site_fract_y
_atom_site_fract_z
La1 0.000 0.000 0.233
Sb1 0.000 0.500 0.500
As1 0.000 0.500 0.000
# - total magnetic moment (μB per formula unit) = 0.00
# - volume (A^3/atom) = 29.03
# - formation energy (no corrections) (eV/f.u.) = -4.6
# - calculated density (Mg/m³) = 6.78

5.
# LaSb2As, optimized geometry, DFT PBE
data_LaSb2As
_chemical_formula_sum 'La3 Sb6 As3'
_space_group_name_H-M_alt 'R -3 m'
_space_group_IT_number 166
_space_group_name_Hall '-R 3 2"'
_cell_length_a 4.3603
_cell_length_b 4.3603
_cell_length_c 22.1355
_cell_angle_alpha 90.00
_cell_angle_beta 90.00
_cell_angle_gamma 120.00
loop_
_atom_site_label
_atom_site_fract_x
_atom_site_fract_y
_atom_site_fract_z
La1 0.0000 0.0000 0.0000
Sb1 0.0000 0.0000 0.2396
As1 0.0000 0.0000 0.5000
# - total magnetic moment (μB per formula unit) = 0.00
# - volume (A^3/atom) = 30.37
# - formation energy (no corrections) (eV/f.u.) = -1.4
# - calculated density (Mg/m³) = 6.25

6.
# LaSbAs, optimized geometry, DFT PBE
data_LaSbAs
_chemical_formula_sum 'La4 Sb4 As4'
_space_group_name_H-M_alt 'F -4 3 m'
_space_group_IT_number 216
_space_group_name_Hall 'F -4 2 3'
_cell_length_a 7.119
_cell_length_b 7.119
_cell_length_c 7.119
_cell_angle_alpha 90.00
_cell_angle_beta 90.00
_cell_angle_gamma 90.00
loop_
_atom_site_label
_atom_site_fract_x
_atom_site_fract_y
_atom_site_fract_z
La1 0.000 0.000 0.000
Sb1 0.000 0.000 0.500
As1 0.250 0.250 0.750
# - total magnetic moment (μB per formula unit) = 0.00
# - volume (A^3/atom) = 30.06
# - formation energy (no corrections) (eV/f.u.) = -1.8
# - calculated density (Mg/m³) = 6.18

7.
# La6SbAs3Se2, optimized geometry, DFT PBE
data_La6SbAs3Se2
_chemical_formula_sum 'La12 Sb2 As6 Se4'
_space_group_name_H-M_alt 'C 1 2/m 1'
_space_group_IT_number 12
_cell_length_a 7.610
_cell_length_b 13.185
_cell_length_c 7.636
_cell_angle_alpha 90.00
_cell_angle_beta 109.40
_cell_angle_gamma 90.00
loop_
_space_group_symop_operation_xyz
'x,y,z'
'-x,-y,-z'
'-x,y,-z'
'x,-y,z'
'x+1/2,y+1/2,z'
'-x+1/2,-y+1/2,-z'
'-x+1/2,y+1/2,-z'
'x+1/2,-y+1/2,z'
loop_
_atom_site_label
_atom_site_fract_x
_atom_site_fract_y
_atom_site_fract_z
La1 0.244 0.169 0.239
La2 0.248 0.000 0.761
Sb1 0.000 0.500 0.500
As1 0.000 0.000 0.000
As2 0.000 0.335 0.000
Se1 0.000 0.167 0.500
# - total magnetic moment (μB per formula unit) = 0.00
# - volume (A^3/atom) = 30.11
# - formation energy (no corrections) (eV/f.u.) = -20.5
# - calculated density (Mg/m³) = 6.15

8.
# La4SbAsSe2, optimized geometry, DFT PBE
data_La4SbAsSe2
_chemical_formula_sum 'La4 Sb1 As1 Se2'
_space_group_name_H-M_alt 'P 1 2/m 1'
_space_group_IT_number 10
_cell_length_a 7.605
_cell_length_b 4.421
_cell_length_c 7.678
_cell_angle_alpha 90.00
_cell_angle_beta 109.60
_cell_angle_gamma 90.00
loop_
_space_group_symop_operation_xyz
'x,y,z'
'-x,-y,-z'
'-x,y,-z'
'x,-y,z'
loop_
_atom_site_label
_atom_site_fract_x
_atom_site_fract_y
_atom_site_fract_z
La1 0.246 0.000 0.239
La2 0.253 0.500 0.760
Sb1 0.500 0.500 0.500
As1 0.500 0.000 0.000
Se1 0.000 0.000 0.500
Se2 0.000 0.500 0.000
# - total magnetic moment (μB per formula unit) = 0.00
# - volume (A^3/atom) = 30.40
# - formation energy (no corrections) (eV/f.u.) = -13.8
# - calculated density (Mg/m³) = 6.21